Here is crystalline ReTc at its relaxed geometry from the Alexandria database. Energies are from PBEsol.

## Properties
The relative energy among the computed polymorphs is 68.3 meV per atom. The value obtained for the density of states at the Fermi level is 0.98 states/eV/atom. The calculation puts the energy relative to the elements at 5.9 kJ/mol of atoms. The total energy is -0.44973 Ha/atom.

Geometry as POSCAR:
```
ReTc
1.0
-1.9289 1.9289 3.8548
1.9289 -1.9289 3.8548
1.9289 1.9289 -3.8548
Re Tc
2 2
Direct
0.3750 0.6250 0.7500 Re
0.6250 0.3750 0.2500 Re
0.1250 0.8750 0.2500 Tc
0.8750 0.1250 0.7500 Tc
```